{
  "formula": "BaLi2H",
  "functional": "GGA-PBE",
  "state": "optimized geometry",
  "de_polymorph_mev_per_atom": 0,
  "m_tot_mub_per_fu": 0.0,
  "lattice_angstrom": [[-1.3069, -5.2477, 3.5418], [-1.9583, -3.1041, -5.3217], [2.6320, -5.6980, -1.5715]],
  "species": ["Li", "Li", "H", "Li", "Ba", "H", "Li", "Ba"],
  "frac_coords": [[0.3753, 0.6250, 0.2500], [0.3747, 0.1250, 0.2500], [0.5000, 0.5000, 0.0000], [0.8750, 0.6247, 0.7500], [0.7500, 0.2500, 0.5000], [0.2500, 0.7500, 0.5000], [0.3750, 0.6253, 0.7500], [0.0000, 0.0000, 0.0000]]
}